Arrangement one

Here is a geometry-optimized SmY3O6 structure from the Alexandria database. Energies are from GGA-PBE.

a = 9.323 Å, b = 9.336 Å, c = 9.336 Å
α = 109.47°, β = 109.45°, γ = 109.46°
Sites, in units of the cell vectors:
Sm1 0.000 0.000 0.000
Sm2 0.000 0.497 0.498
Sm3 0.252 0.717 0.969
Sm4 0.500 0.998 0.502
Y1 0.030 0.748 0.281
Y2 0.219 0.969 0.750
Y3 0.251 0.217 0.469
Y4 0.282 0.529 0.250
Y5 0.469 0.251 0.219
Y6 0.501 0.497 0.000
Y7 0.533 0.746 0.781
Y8 0.718 0.466 0.751
Y9 0.748 0.279 0.031
Y10 0.750 0.779 0.530
Y11 0.782 0.028 0.250
Y12 0.969 0.247 0.718
O1 0.010 0.039 0.767
O2 0.028 0.484 0.254
O3 0.042 0.266 0.511
O4 0.230 0.451 0.969
O5 0.232 0.273 0.245
O6 0.245 0.974 0.013
O7 0.256 0.766 0.230
O8 0.268 0.011 0.542
O9 0.276 0.744 0.729
O10 0.457 0.466 0.730
O11 0.469 0.229 0.957
O12 0.489 0.753 0.530
O13 0.513 0.242 0.471
O14 0.535 0.766 0.042
O15 0.544 0.530 0.270
O16 0.725 0.253 0.268
O17 0.731 0.986 0.457
O18 0.744 0.230 0.775
O19 0.755 0.027 0.987
O20 0.770 0.541 0.031
O21 0.770 0.724 0.757
O22 0.958 0.729 0.488
O23 0.967 0.507 0.740
O24 0.989 0.956 0.231

## Properties
- symmetry = No. 1

=====

Arrangement two

Here is a geometry-optimized SmY3O6 structure from the Alexandria database. Energies are from GGA-PBE.

a = 6.125 Å, b = 6.125 Å, c = 6.125 Å
α = 57.29°, β = 57.29°, γ = 57.29°
Sites, in units of the cell vectors:
Sm1 0.000 0.000 0.000
Y1 0.218 0.218 0.218
Y2 0.504 0.504 0.504
Y3 0.720 0.720 0.720
O1 0.110 0.819 0.410
O2 0.329 0.601 0.907
O3 0.410 0.110 0.819
O4 0.601 0.907 0.329
O5 0.819 0.410 0.110
O6 0.907 0.329 0.601

## Properties
- symmetry = No. 146

=====

Most stable: arrangement one (next structure +47 meV/atom)

=====

Arrangement one

Here is a geometry-optimized Sr2SnO4 structure from the Alexandria database. Energies are from GGA-PBE.

a = 6.923 Å, b = 6.923 Å, c = 5.918 Å
α = 90.00°, β = 90.00°, γ = 130.48°
Sites, in units of the cell vectors:
Sr1 0.147 0.853 0.985
Sr2 0.353 0.647 0.485
Sr3 0.647 0.353 0.515
Sr4 0.853 0.147 0.015
Sn1 0.000 0.000 0.500
Sn2 0.500 0.500 0.000
O1 0.163 0.837 0.557
O2 0.228 0.272 0.750
O3 0.272 0.228 0.250
O4 0.337 0.663 0.057
O5 0.663 0.337 0.943
O6 0.728 0.772 0.750
O7 0.772 0.728 0.250
O8 0.837 0.163 0.443

## Properties
- symmetry = No. 64

=====

Arrangement two

Here is a geometry-optimized Sr2SnO4 structure from the Alexandria database. Energies are from GGA-PBE.

a = 6.141 Å, b = 10.207 Å, c = 3.422 Å
α = 90.00°, β = 90.00°, γ = 90.00°
Sites, in units of the cell vectors:
Sr1 0.071 0.180 0.000
Sr2 0.429 0.680 0.000
Sr3 0.571 0.320 0.000
Sr4 0.929 0.820 0.000
Sn1 0.000 0.500 0.500
Sn2 0.500 0.000 0.500
O1 0.129 0.686 0.500
O2 0.216 0.451 0.000
O3 0.284 0.951 0.000
O4 0.371 0.186 0.500
O5 0.629 0.814 0.500
O6 0.716 0.049 0.000
O7 0.784 0.549 0.000
O8 0.871 0.314 0.500

## Properties
- symmetry = No. 55

=====

Most stable: arrangement one (next structure +14 meV/atom)